# 1
Compound: Y2AgW
Source: the Alexandria database
Functional: PBE
Structure: optimized geometry

Cell lengths 5.7246, 5.7246, 5.7246 Å; angles 135.72, 135.72, 64.41 degrees
Fractional coordinates of all 4 atoms:
W (0.7500, 0.2500, 0.5000)
Ag (0.5000, 0.5000, 0.0000)
Y (0.2500, 0.7500, 0.5000)
Y (0.0000, 0.0000, 0.0000)

Summary:
The value obtained for the density of states at the Fermi level is 1.182 states/eV per atom. The calculation puts the magnetization at 0.00 μB per atom. The value obtained for the formation energy is 42.7 kJ per mole of atoms.

# 2
Compound: Y2AgW
Source: the Alexandria database
Functional: PBE
Structure: optimized geometry

Cell lengths 3.1102, 3.1102, 9.4900 Å; angles 90.00, 90.00, 89.98 degrees
Fractional coordinates of all 4 atoms:
Y (0.0000, 0.0000, 0.9577)
Y (0.5000, 0.5000, 0.2899)
W (0.5000, 0.5000, 0.7263)
Ag (0.0000, 0.0000, 0.5260)

Summary:
The value obtained for the density of states at the Fermi level is 0.840 states/eV per atom. The calculation puts the magnetization at 0.00 μB per atom. The value obtained for the formation energy is 44.1 kJ per mole of atoms.

# 3
Compound: Y2AgW
Source: the Alexandria database
Functional: PBE
Structure: optimized geometry

Cell lengths 3.1396, 4.7963, 6.1656 Å; angles 90.00, 90.00, 90.00 degrees
Fractional coordinates of all 4 atoms:
Y (0.0000, 0.0000, 0.9468)
Y (0.5000, 0.5000, 0.2895)
Ag (0.0000, 0.0000, 0.4762)
W (0.5000, 0.5000, 0.7875)

Summary:
The value obtained for the density of states at the Fermi level is 0.954 states/eV per atom. The calculation puts the magnetization at 0.00 μB per atom. The value obtained for the formation energy is 45.5 kJ per mole of atoms.

# 4
Compound: YAg3W
Source: the Alexandria database
Functional: PBE
Structure: optimized geometry

Cell lengths 5.0408, 5.0408, 5.0408 Å; angles 90.00, 90.00, 90.00 degrees
Fractional coordinates of all 5 atoms:
W (0.0000, 0.0000, 0.0000)
Ag (0.0000, 0.0000, 0.5000)
Ag (0.0000, 0.5000, 0.0000)
Ag (0.5000, 0.0000, 0.0000)
Y (0.5000, 0.5000, 0.5000)

Summary:
The value obtained for the density of states at the Fermi level is 1.306 states/eV per atom. The calculation puts the magnetization at 0.00 μB per atom. The value obtained for the formation energy is 108.5 kJ per mole of atoms.